# Pr3HgPd3 | the Alexandria database | GGA-PBE | optimized geometry
# Symmetry: P6_3/m (176)
# Crystal system: hexagonal
# Energy of formation, eV/f.u.: -3.5
# VASP energy, eV/atom: -4.814
data_Pr3HgPd3
_chemical_formula_sum 'Pr6 Hg2 Pd6'
_space_group_name_H-M_alt 'P 1'
_space_group_IT_number 1
_cell_length_a 5.824
_cell_length_b 8.974
_cell_length_c 8.974
_cell_angle_alpha 120.00
_cell_angle_beta 90.00
_cell_angle_gamma 90.00
loop_
_space_group_symop_operation_xyz
'x,y,z'
loop_
_atom_site_label
_atom_site_type_symbol
_atom_site_fract_x
_atom_site_fract_y
_atom_site_fract_z
_atom_site_occupancy
Pr1 Pr 0.750 0.679 0.637 1
Pr2 Pr 0.750 0.363 0.042 1
Pr3 Pr 0.750 0.958 0.321 1
Pr4 Pr 0.250 0.321 0.363 1
Pr5 Pr 0.250 0.637 0.958 1
Pr6 Pr 0.250 0.042 0.679 1
Hg1 Hg 0.250 0.667 0.333 1
Hg2 Hg 0.750 0.333 0.667 1
Pd1 Pd 0.250 0.690 0.658 1
Pd2 Pd 0.250 0.342 0.032 1
Pd3 Pd 0.250 0.968 0.310 1
Pd4 Pd 0.750 0.310 0.342 1
Pd5 Pd 0.750 0.658 0.968 1
Pd6 Pd 0.750 0.032 0.690 1